B5C7: optimized geometry, PBE-GGA.

Results
Energy above the lowest structure with this stoichiometry   154 meV per atom
Energy relative to the elements   4.94 eV per formula unit

Lattice parameters (Å, degrees): 3.9440 2.5313 7.9395 90.00 91.20 90.00
Closest atoms and distances in Å follow each position.
Element x y z (fractional)
B: 0.0000 0.0000 0.0000  3 C 1.63-1.65
B: 0.0285 0.0000 0.3528  1 C 1.63, 1 B 1.70
B: 0.3147 0.0000 0.1951  2 C 1.54, 1 B 1.70
B: 0.6960 0.5000 0.3503  2 C 1.60-1.65
B: 0.7435 0.5000 0.6829  4 C 1.60-1.74
C: 0.0464 0.0000 0.6879  2 C 1.54-1.56
C: 0.2601 0.0000 0.5247  3 C 1.56, 1 B 1.63
C: 0.2763 0.0000 0.8468  3 C 1.54-1.56, 1 B 1.65
C: 0.4905 0.5000 0.5224  2 C 1.56, 2 B 1.60
C: 0.5075 0.5000 0.8513  3 C 1.54-1.56, 1 B 1.64
C: 0.5238 0.5000 0.1594  1 C 1.48, 3 B 1.54-1.65
C: 0.7399 0.5000 0.0097  2 C 1.48-1.54, 2 B 1.63